Entry 1:
{
  "formula": "CrFe3Tc",
  "functional": "meta-GGA SCAN",
  "state": "single point on PBEsol structure",
  "formation_energy_ev_per_fu": 6.8,
  "space_group": "Pm-3m",
  "lattice_angstrom": [[-0.939, 3.796, 1.052], [-2.034, 0.459, -3.471], [-3.373, -1.333, 1.801]],
  "species": ["Cr", "Tc", "Fe", "Fe", "Fe"],
  "frac_coords": [[0.000, 0.000, 0.000], [0.500, 0.500, 0.500], [0.000, 0.500, 0.000], [0.000, 0.000, 0.500], [0.500, 0.000, 0.000]]
}

Entry 2:
{
  "formula": "NdAl3",
  "functional": "meta-GGA SCAN",
  "state": "single point on PBEsol structure",
  "formation_energy_ev_per_fu": -1.9,
  "space_group": "P6_3/mmc",
  "lattice_angstrom": [[4.611, 0.000, 0.000], [0.000, 6.409, 0.000], [0.000, -3.204, 5.550]],
  "species": ["Nd", "Nd", "Al", "Al", "Al", "Al", "Al", "Al"],
  "frac_coords": [[0.250, 0.333, 0.667], [0.750, 0.667, 0.333], [0.250, 0.286, 0.143], [0.750, 0.143, 0.857], [0.750, 0.143, 0.286], [0.250, 0.857, 0.714], [0.250, 0.857, 0.143], [0.750, 0.714, 0.857]]
}

Entry 3:
{
  "formula": "LiMnSbO4",
  "functional": "meta-GGA SCAN",
  "state": "single point on PBEsol structure",
  "e_form_raw_ev_per_atom": -1.903,
  "relative_energy_ev_per_fu": 0.00,
  "space_group": "P4_322",
  "lattice_angstrom": [[6.135, 0.000, 0.000], [0.000, 6.135, 0.000], [0.000, 0.000, 8.579]],
  "species": ["Li", "Li", "Li", "Li", "Mn", "Mn", "Mn", "Mn", "Sb", "Sb", "Sb", "Sb", "O", "O", "O", "O", "O", "O", "O", "O", "O", "O", "O", "O", "O", "O", "O", "O"],
  "frac_coords": [[0.500, 0.711, 0.000], [0.500, 0.289, 0.500], [0.711, 0.500, 0.250], [0.289, 0.500, 0.750], [0.747, 0.253, 0.875], [0.253, 0.747, 0.375], [0.747, 0.747, 0.625], [0.253, 0.253, 0.125], [0.732, 0.000, 0.250], [0.000, 0.732, 0.000], [0.000, 0.268, 0.500], [0.268, 0.000, 0.750], [0.524, 0.762, 0.250], [0.524, 0.238, 0.250], [0.762, 0.524, 0.000], [0.762, 0.476, 0.500], [0.238, 0.524, 0.000], [0.238, 0.476, 0.500], [0.476, 0.762, 0.750], [0.476, 0.238, 0.750], [0.770, 0.980, 0.015], [0.770, 0.020, 0.485], [0.980, 0.770, 0.235], [0.980, 0.230, 0.265], [0.020, 0.770, 0.765], [0.020, 0.230, 0.735], [0.230, 0.020, 0.515], [0.230, 0.980, 0.985]]
}

Entry 4:
{
  "formula": "Rb2LiScCl6",
  "functional": "meta-GGA SCAN",
  "state": "single point on PBEsol structure",
  "e_form_raw_ev_per_atom": -2.293,
  "space_group": "Fm-3m",
  "lattice_angstrom": [[7.071, 0.000, 0.000], [3.536, 6.124, 0.000], [3.536, 2.041, 5.774]],
  "species": ["Sc", "Li", "Rb", "Rb", "Cl", "Cl", "Cl", "Cl", "Cl", "Cl"],
  "frac_coords": [[0.000, 0.000, 0.000], [0.500, 0.500, 0.500], [0.750, 0.750, 0.750], [0.250, 0.250, 0.250], [0.247, 0.753, 0.753], [0.753, 0.753, 0.247], [0.753, 0.247, 0.753], [0.753, 0.247, 0.247], [0.247, 0.247, 0.753], [0.247, 0.753, 0.247]]
}

Entry 5:
{
  "formula": "Be2Nb2Re",
  "functional": "meta-GGA SCAN",
  "state": "single point on PBEsol structure",
  "formation_energy_ev_per_fu": -1.9,
  "space_group": "P4/mbm",
  "lattice_angstrom": [[3.277, 0.000, 0.000], [0.000, 6.309, 0.000], [0.000, 0.000, 6.309]],
  "species": ["Re", "Re", "Nb", "Nb", "Nb", "Nb", "Be", "Be", "Be", "Be"],
  "frac_coords": [[0.000, 0.000, 0.000], [0.000, 0.500, 0.500], [0.500, 0.178, 0.678], [0.500, 0.678, 0.822], [0.500, 0.822, 0.322], [0.500, 0.322, 0.178], [0.000, 0.381, 0.881], [0.000, 0.881, 0.619], [0.000, 0.619, 0.119], [0.000, 0.119, 0.381]]
}

Entry 6:
{
  "formula": "LiMoOs2",
  "functional": "meta-GGA SCAN",
  "state": "single point on PBEsol structure",
  "formation_energy_ev_per_fu": 1.5,
  "relative_energy_ev_per_fu": 1.44,
  "space_group": "Pmmm",
  "lattice_angstrom": [[-0.335, 1.135, 2.507], [-2.789, -3.246, 1.098], [3.451, -2.436, 1.564]],
  "species": ["Li", "Mo", "Os", "Os"],
  "frac_coords": [[0.500, 0.500, 0.000], [0.000, 0.500, 0.500], [0.000, 0.000, 0.000], [0.500, 0.000, 0.500]]
}

Entry 7:
{
  "formula": "MgInFeHg2",
  "functional": "meta-GGA SCAN",
  "state": "single point on PBEsol structure",
  "formation_energy_ev_per_fu": 1.6,
  "relative_energy_ev_per_fu": 0.00,
  "space_group": "P4/mmm",
  "lattice_angstrom": [[-4.600, -1.214, 1.126], [0.971, -4.754, -1.157], [1.383, -0.865, 4.714]],
  "species": ["Fe", "Mg", "Hg", "Hg", "In"],
  "frac_coords": [[0.000, 0.000, 0.000], [0.500, 0.500, 0.500], [0.000, 0.000, 0.500], [0.000, 0.500, 0.000], [0.500, 0.000, 0.000]]
}

Entry 8:
{
  "formula": "Tb11O20",
  "functional": "meta-GGA SCAN",
  "state": "single point on PBEsol structure",
  "e_form_raw_ev_per_atom": -3.301,
  "space_group": "P-1",
  "lattice_angstrom": [[6.442, 0.065, -0.002], [-1.017, 6.545, -0.017], [-0.570, -0.843, 10.086]],
  "species": ["O", "O", "O", "O", "O", "O", "O", "O", "O", "O", "O", "O", "O", "O", "O", "O", "O", "O", "O", "O", "Tb", "Tb", "Tb", "Tb", "Tb", "Tb", "Tb", "Tb", "Tb", "Tb", "Tb"],
  "frac_coords": [[0.879, 0.331, 0.037], [0.121, 0.669, 0.963], [0.964, 0.839, 0.204], [0.036, 0.161, 0.796], [0.035, 0.427, 0.369], [0.965, 0.573, 0.631], [0.155, 0.943, 0.565], [0.845, 0.057, 0.435], [0.333, 0.037, 0.929], [0.667, 0.963, 0.071], [0.208, 0.220, 0.161], [0.792, 0.780, 0.839], [0.287, 0.799, 0.330], [0.713, 0.201, 0.670], [0.374, 0.325, 0.539], [0.626, 0.675, 0.461], [0.463, 0.818, 0.704], [0.537, 0.182, 0.296], [0.529, 0.410, 0.872], [0.471, 0.590, 0.128], [0.000, 0.000, 0.000], [0.179, 0.114, 0.369], [0.821, 0.886, 0.631], [0.126, 0.549, 0.172], [0.874, 0.451, 0.828], [0.271, 0.637, 0.521], [0.729, 0.363, 0.479], [0.370, 0.145, 0.723], [0.630, 0.855, 0.277], [0.467, 0.734, 0.924], [0.533, 0.266, 0.076]]
}

So what do the calculations give for raw total energy? Going down the list: -20.20 -17.18 -13.74 -12.89 -29.59 -44.87 -38.25 -23.91 eV/atom.